No. 1
A relaxed structure of YFeRh2, computed with GGA-PBE.

- Total DFT energy (no corrections): -58.251 eV per cell
- Formation energy: 0.126 eV per atom
- DOS(E_F): 10.36 states/eV/cell
- Spin magnetization: 6.10 Bohr magnetons per cell
- Symmetry: I-42d

Lattice parameters (Å, degrees): 9.168 9.168 9.168 153.73 153.73 37.50
Fractional coordinates of all 8 atoms:
Y 0.000 0.000 0.000
Y 0.750 0.250 0.500
Fe 0.250 0.750 0.500
Fe 0.500 0.500 0.000
Rh 0.191 0.625 0.066
Rh 0.375 0.441 0.566
Rh 0.559 0.125 0.934
Rh 0.875 0.809 0.434

No. 2
A relaxed structure of SrLa2Be, computed with GGA-PBE.

- Total DFT energy (no corrections): -27.306 eV per cell
- Formation energy: 0.402 eV per atom
- DOS(E_F): 10.95 states/eV/cell
- Spin magnetization: 0.00 Bohr magnetons per cell
- Symmetry: I-42d

Lattice parameters (Å, degrees): 7.188 7.188 7.188 102.47 102.47 124.62
Fractional coordinates of all 8 atoms:
Sr 0.000 0.000 0.000
Sr 0.750 0.250 0.500
La 0.191 0.125 0.566
La 0.375 0.809 0.934
La 0.559 0.625 0.434
La 0.875 0.441 0.066
Be 0.250 0.750 0.500
Be 0.500 0.500 0.000

No. 3
A relaxed structure of ThTlHg2, computed with GGA-PBE.

- Total DFT energy (no corrections): -11.091 eV per cell
- Formation energy: -0.175 eV per atom
- DOS(E_F): 3.75 states/eV/cell
- Spin magnetization: 0.00 Bohr magnetons per cell
- Symmetry: P4/mmm

Lattice parameters (Å, degrees): 4.736 4.736 4.757 90.00 90.00 90.00
Fractional coordinates of all 4 atoms:
Th 0.000 0.000 0.000
Tl 0.500 0.500 0.000
Hg 0.000 0.500 0.500
Hg 0.500 0.000 0.500

No. 4
A relaxed structure of LiHo4In5, computed with GGA-PBE.

- Total DFT energy (no corrections): -38.264 eV per cell
- Formation energy: -0.435 eV per atom
- DOS(E_F): 5.41 states/eV/cell
- Spin magnetization: 0.01 Bohr magnetons per cell
- Symmetry: P4/mmm

Lattice parameters (Å, degrees): 3.516 3.516 20.075 90.00 90.00 90.00
Fractional coordinates of all 10 atoms:
Li 0.000 0.000 0.000
Ho 0.000 0.000 0.183
Ho 0.000 0.000 0.394
Ho 0.000 0.000 0.606
Ho 0.000 0.000 0.817
In 0.500 0.500 0.078
In 0.500 0.500 0.288
In 0.500 0.500 0.500
In 0.500 0.500 0.712
In 0.500 0.500 0.922

No. 5
A relaxed structure of MnTc2Ni, computed with GGA-PBE.

- Offset from the most stable computed form: 0.173 eV per atom
- Total DFT energy (no corrections): -35.021 eV per cell
- Formation energy: 0.166 eV per atom
- DOS(E_F): 4.85 states/eV/cell
- Spin magnetization: 1.18 Bohr magnetons per cell
- Symmetry: P4/mmm

Lattice parameters (Å, degrees): 3.117 3.117 5.345 90.00 90.00 90.00
Fractional coordinates of all 4 atoms:
Mn 0.000 0.000 0.000
Tc 0.500 0.500 0.244
Tc 0.500 0.500 0.756
Ni 0.000 0.000 0.500

No. 6
A relaxed structure of GeB3P, computed with GGA-PBE.

- Offset from the most stable computed form: 0.000 eV per atom
- Total DFT energy (no corrections): -22.835 eV per cell
- Formation energy: 1.445 eV per atom
- DOS(E_F): 1.92 states/eV/cell
- Spin magnetization: 0.00 Bohr magnetons per cell
- Symmetry: Pm-3m

Lattice parameters (Å, degrees): 3.914 3.914 3.914 90.00 90.00 90.00
Fractional coordinates of all 5 atoms:
Ge 0.000 0.000 0.000
B 0.000 0.500 0.500
B 0.500 0.000 0.500
B 0.500 0.500 0.000
P 0.500 0.500 0.500

No. 7
A relaxed structure of YCd2Cl, computed with GGA-PBE.

- Formation energy without anion corrections: -0.395 eV per atom
- Offset from the most stable computed form: 0.254 eV per atom
- Total DFT energy (no corrections): -11.721 eV per cell
- DOS(E_F): 3.27 states/eV/cell
- Spin magnetization: 0.00 Bohr magnetons per cell
- Symmetry: F-43m

Lattice parameters (Å, degrees): 5.126 5.126 5.126 60.00 60.00 60.00
Fractional coordinates of all 4 atoms:
Y 0.000 0.000 0.000
Cd 0.250 0.250 0.250
Cd 0.500 0.500 0.500
Cl 0.750 0.750 0.750

No. 8
A relaxed structure of PrTmAs2, computed with GGA-PBE.

- Offset from the most stable computed form: 0.167 eV per atom
- Total DFT energy (no corrections): -23.837 eV per cell
- Formation energy: -1.322 eV per atom
- DOS(E_F): 0.35 states/eV/cell
- Spin magnetization: 0.00 Bohr magnetons per cell
- Symmetry: R3m

Lattice parameters (Å, degrees): 7.513 7.513 7.513 32.10 32.10 32.10
Fractional coordinates of all 4 atoms:
Pr 0.000 0.000 0.000
Tm 0.829 0.829 0.829
As 0.417 0.417 0.417
As 0.577 0.577 0.577

No. 9
A relaxed structure of LiCrFe, computed with GGA-PBE.

- Offset from the most stable computed form: 0.220 eV per atom
- Total DFT energy (no corrections): -18.899 eV per cell
- Formation energy: 0.367 eV per atom
- DOS(E_F): 2.04 states/eV/cell
- Spin magnetization: 0.84 Bohr magnetons per cell
- Symmetry: Imm2

Lattice parameters (Å, degrees): 4.251 4.251 4.251 147.80 122.99 67.01
Fractional coordinates of all 3 atoms:
Li 0.000 0.000 0.000
Cr 0.664 0.664 0.000
Fe 0.339 0.339 0.000

No. 10
A relaxed structure of SrSc2Sb2, computed with GGA-PBE.

- Formation energy without anion corrections: -0.799 eV per atom
- Offset from the most stable computed form: 0.000 eV per atom
- Total DFT energy (no corrections): -26.584 eV per cell
- DOS(E_F): 4.08 states/eV/cell
- Spin magnetization: 1.31 Bohr magnetons per cell
- Symmetry: I4/mmm

Lattice parameters (Å, degrees): 7.678 7.678 7.678 145.07 145.07 50.24
Fractional coordinates of all 5 atoms:
Sr 0.000 0.000 0.000
Sc 0.250 0.750 0.500
Sc 0.750 0.250 0.500
Sb 0.379 0.379 0.000
Sb 0.621 0.621 0.000

No. 11
A relaxed structure of TeOs3O, computed with GGA-PBE.

- Formation energy without anion corrections: 3.046 eV per atom
- Offset from the most stable computed form: 1.853 eV per atom
- Total DFT energy (no corrections): -26.561 eV per cell
- DOS(E_F): 3.31 states/eV/cell
- Spin magnetization: 5.78 Bohr magnetons per cell
- Symmetry: Pm-3m

Lattice parameters (Å, degrees): 4.876 4.876 4.876 90.00 90.00 90.00
Fractional coordinates of all 5 atoms:
Te 0.000 0.000 0.000
Os 0.000 0.000 0.500
Os 0.000 0.500 0.000
Os 0.500 0.000 0.000
O 0.500 0.500 0.500

No. 12
A relaxed structure of RbHgI2F, computed with GGA-PBE.

- Formation energy without anion corrections: -1.083 eV per atom
- Offset from the most stable computed form: 0.117 eV per atom
- Total DFT energy (no corrections): -11.657 eV per cell
- DOS(E_F): 0.99 states/eV/cell
- Spin magnetization: 0.00 Bohr magnetons per cell
- Symmetry: P4/mmm

Lattice parameters (Å, degrees): 6.073 6.073 4.680 90.00 90.00 90.00
Fractional coordinates of all 5 atoms:
Rb 0.000 0.000 0.000
Hg 0.500 0.500 0.500
I 0.000 0.500 0.500
I 0.500 0.000 0.500
F 0.500 0.500 0.000

No. 13
A relaxed structure of Ta2AsRu, computed with GGA-PBE.

- Total DFT energy (no corrections): -38.238 eV per cell
- Formation energy: -0.152 eV per atom
- DOS(E_F): 2.32 states/eV/cell
- Spin magnetization: 0.00 Bohr magnetons per cell
- Symmetry: P2/m

Lattice parameters (Å, degrees): 2.947 4.077 5.430 90.00 94.05 90.00
Fractional coordinates of all 4 atoms:
Ta 0.045 0.000 0.248
Ta 0.955 0.000 0.752
As 0.500 0.500 0.500
Ru 0.500 0.500 0.000

No. 14
A relaxed structure of Re3GeTe, computed with GGA-PBE.

- Formation energy without anion corrections: 2.576 eV per atom
- Offset from the most stable computed form: 0.751 eV per atom
- Total DFT energy (no corrections): -32.223 eV per cell
- DOS(E_F): 3.77 states/eV/cell
- Spin magnetization: 2.67 Bohr magnetons per cell
- Symmetry: Pm-3m

Lattice parameters (Å, degrees): 4.869 4.869 4.869 90.00 90.00 90.00
Fractional coordinates of all 5 atoms:
Re 0.000 0.000 0.500
Re 0.000 0.500 0.000
Re 0.500 0.000 0.000
Ge 0.500 0.500 0.500
Te 0.000 0.000 0.000

No. 15
A relaxed structure of AcPrOs, computed with GGA-PBE.

- Offset from the most stable computed form: 0.056 eV per atom
- Total DFT energy (no corrections): -39.904 eV per cell
- Formation energy: 0.055 eV per atom
- DOS(E_F): 7.22 states/eV/cell
- Spin magnetization: 0.00 Bohr magnetons per cell
- Symmetry: Immm

Lattice parameters (Å, degrees): 7.587 7.587 7.587 148.89 124.55 64.95
Fractional coordinates of all 6 atoms:
Ac 0.222 0.222 0.000
Ac 0.778 0.778 0.000
Pr 0.260 0.500 0.760
Pr 0.740 0.500 0.240
Os 0.389 0.889 0.500
Os 0.611 0.111 0.500

No. 16
A relaxed structure of NiMoRh2Br, computed with GGA-PBE.

- Formation energy without anion corrections: 1.494 eV per atom
- Offset from the most stable computed form: 0.157 eV per atom
- Total DFT energy (no corrections): -25.520 eV per cell
- DOS(E_F): 12.00 states/eV/cell
- Spin magnetization: 0.37 Bohr magnetons per cell
- Symmetry: P4/mmm

Lattice parameters (Å, degrees): 4.558 4.558 4.324 90.00 90.00 90.00
Fractional coordinates of all 5 atoms:
Ni 0.000 0.000 0.000
Mo 0.500 0.500 0.500
Rh 0.000 0.500 0.000
Rh 0.500 0.000 0.000
Br 0.000 0.000 0.500

No. 17
A relaxed structure of Ba4CaAg, computed with GGA-PBE.

- Offset from the most stable computed form: 0.024 eV per atom
- Total DFT energy (no corrections): -25.530 eV per cell
- Formation energy: -0.037 eV per atom
- DOS(E_F): 14.90 states/eV/cell
- Spin magnetization: 0.00 Bohr magnetons per cell
- Symmetry: C2/c

Lattice parameters (Å, degrees): 9.656 9.656 7.458 100.49 100.49 109.96
Fractional coordinates of all 12 atoms:
Ba 0.062 0.723 0.947
Ba 0.186 0.367 0.627
Ba 0.277 0.938 0.553
Ba 0.367 0.186 0.127
Ba 0.633 0.814 0.873
Ba 0.723 0.062 0.447
Ba 0.814 0.633 0.373
Ba 0.938 0.277 0.053
Ca 0.387 0.613 0.250
Ca 0.613 0.387 0.750
Ag 0.000 0.000 0.250
Ag 0.000 0.000 0.750

No. 18
A relaxed structure of GaSbTe2Au, computed with GGA-PBE.

- Formation energy without anion corrections: 0.421 eV per atom
- Offset from the most stable computed form: 0.000 eV per atom
- Total DFT energy (no corrections): -14.605 eV per cell
- DOS(E_F): 3.70 states/eV/cell
- Spin magnetization: 0.00 Bohr magnetons per cell
- Symmetry: P4/mmm

Lattice parameters (Å, degrees): 5.646 5.646 5.232 90.00 90.00 90.00
Fractional coordinates of all 5 atoms:
Ga 0.000 0.000 0.000
Sb 0.500 0.500 0.000
Te 0.000 0.500 0.500
Te 0.500 0.000 0.500
Au 0.500 0.500 0.500

No. 19
A relaxed structure of V2ZnReH, computed with GGA-PBE.

- Total DFT energy (no corrections): -35.299 eV per cell
- DOS(E_F): 3.12 states/eV/cell
- Spin magnetization: 0.00 Bohr magnetons per cell
- Symmetry: P4/mmm

Lattice parameters (Å, degrees): 3.863 3.863 3.853 90.00 90.00 90.00
Fractional coordinates of all 5 atoms:
V 0.000 0.500 0.000
V 0.500 0.000 0.000
Zn 0.000 0.000 0.500
Re 0.500 0.500 0.500
H 0.500 0.500 0.000

No. 20
A relaxed structure of LaCoPt2, computed with GGA-PBE.

- Total DFT energy (no corrections): -25.137 eV per cell
- Formation energy: -0.256 eV per atom
- DOS(E_F): 7.81 states/eV/cell
- Spin magnetization: 1.56 Bohr magnetons per cell
- Symmetry: F-43m

Lattice parameters (Å, degrees): 4.717 4.717 4.717 60.00 60.00 60.00
Fractional coordinates of all 4 atoms:
La 0.000 0.000 0.000
Co 0.750 0.750 0.750
Pt 0.250 0.250 0.250
Pt 0.500 0.500 0.500

No. 21
A relaxed structure of K2Na2Br2O, computed with GGA-PBE.

- Formation energy without anion corrections: -1.480 eV per atom
- Total DFT energy (no corrections): -23.498 eV per cell
- DOS(E_F): 0.00 states/eV/cell
- Spin magnetization: 0.07 Bohr magnetons per cell
- Symmetry: I4/mmm

Lattice parameters (Å, degrees): 9.097 9.097 9.097 150.09 150.09 42.81
Fractional coordinates of all 7 atoms:
K 0.154 0.154 0.000
K 0.846 0.846 0.000
Na 0.000 0.500 0.500
Na 0.500 0.000 0.500
Br 0.359 0.359 0.000
Br 0.641 0.641 0.000
O 0.000 0.000 0.000

No. 22
A relaxed structure of AgSeSI2, computed with GGA-PBE.

- Formation energy without anion corrections: 0.506 eV per atom
- Total DFT energy (no corrections): -11.035 eV per cell
- DOS(E_F): 5.08 states/eV/cell
- Spin magnetization: 0.00 Bohr magnetons per cell
- Symmetry: P4/mmm

Lattice parameters (Å, degrees): 5.561 5.561 4.920 90.00 90.00 90.00
Fractional coordinates of all 5 atoms:
Ag 0.000 0.000 0.000
Se 0.500 0.500 0.000
S 0.500 0.500 0.500
I 0.000 0.500 0.500
I 0.500 0.000 0.500

No. 23
A relaxed structure of ZnFe2Os, computed with GGA-PBE.

- Total DFT energy (no corrections): -28.866 eV per cell
- Formation energy: 0.141 eV per atom
- DOS(E_F): 4.34 states/eV/cell
- Spin magnetization: 4.74 Bohr magnetons per cell
- Symmetry: R3m

Lattice parameters (Å, degrees): 8.656 8.656 8.656 17.75 17.75 17.75
Fractional coordinates of all 4 atoms:
Zn 0.000 0.000 0.000
Fe 0.249 0.249 0.249
Fe 0.503 0.503 0.503
Os 0.756 0.756 0.756

No. 24
A relaxed structure of CrTcB, computed with GGA-PBE.

- Offset from the most stable computed form: 0.000 eV per atom
- Total DFT energy (no corrections): -55.242 eV per cell
- Formation energy: -0.318 eV per atom
- DOS(E_F): 5.25 states/eV/cell
- Spin magnetization: 0.00 Bohr magnetons per cell
- Symmetry: Fmmm

Lattice parameters (Å, degrees): 5.323 4.398 4.353 74.93 52.92 52.15
Fractional coordinates of all 6 atoms:
Cr 0.169 0.831 0.169
Cr 0.831 0.169 0.831
Tc 0.335 0.335 0.665
Tc 0.665 0.665 0.335
B 0.250 0.250 0.250
B 0.750 0.750 0.750

No. 25
A relaxed structure of Li8Tl2Pd, computed with GGA-PBE.

- Offset from the most stable computed form: 0.000 eV per atom
- Total DFT energy (no corrections): -27.723 eV per cell
- Formation energy: -0.226 eV per atom
- DOS(E_F): 3.79 states/eV/cell
- Spin magnetization: 0.00 Bohr magnetons per cell
- Symmetry: C2/m

Lattice parameters (Å, degrees): 7.620 7.620 6.296 104.33 104.33 33.39
Fractional coordinates of all 11 atoms:
Li 0.027 0.027 0.243
Li 0.144 0.144 0.666
Li 0.335 0.335 0.593
Li 0.407 0.407 0.082
Li 0.593 0.593 0.918
Li 0.665 0.665 0.407
Li 0.856 0.856 0.334
Li 0.973 0.973 0.757
Tl 0.208 0.208 0.143
Tl 0.792 0.792 0.857
Pd 0.500 0.500 0.500

No. 26
A relaxed structure of CaLa2Pm, computed with GGA-PBE.

- Offset from the most stable computed form: 0.046 eV per atom
- Total DFT energy (no corrections): -16.307 eV per cell
- Formation energy: 0.075 eV per atom
- DOS(E_F): 6.29 states/eV/cell
- Spin magnetization: 0.00 Bohr magnetons per cell
- Symmetry: P4/mmm

Lattice parameters (Å, degrees): 5.349 5.349 5.171 90.00 90.00 90.00
Fractional coordinates of all 4 atoms:
Ca 0.000 0.000 0.000
La 0.000 0.500 0.500
La 0.500 0.000 0.500
Pm 0.500 0.500 0.000

No. 27
A relaxed structure of UAg2Te3, computed with GGA-PBE.

- Formation energy without anion corrections: -0.315 eV per atom
- Offset from the most stable computed form: 0.016 eV per atom
- Total DFT energy (no corrections): -56.615 eV per cell
- DOS(E_F): 14.09 states/eV/cell
- Spin magnetization: 4.01 Bohr magnetons per cell
- Symmetry: P2_1/m

Lattice parameters (Å, degrees): 7.860 4.376 10.667 90.00 101.00 90.00
Fractional coordinates of all 12 atoms:
U 0.138 0.250 0.183
U 0.862 0.750 0.817
Ag 0.270 0.250 0.823
Ag 0.404 0.750 0.429
Ag 0.596 0.250 0.571
Ag 0.730 0.750 0.177
Te 0.042 0.750 0.356
Te 0.228 0.750 0.999
Te 0.472 0.750 0.708
Te 0.528 0.250 0.292
Te 0.772 0.250 0.001
Te 0.958 0.250 0.644